[1]
YMgRu2 | PBE | relaxed

```
YMgRu2
1.0
6.5996 0.0000 0.0000
0.0000 6.5996 0.0000
0.0000 0.0000 6.5996
Y Mg Ru
4 4 8
Direct
0.0000 0.0000 0.0000 Y
0.0000 0.5000 0.5000 Y
0.5000 0.0000 0.5000 Y
0.5000 0.5000 0.0000 Y
0.2500 0.2500 0.7500 Mg
0.2500 0.7500 0.2500 Mg
0.7500 0.2500 0.2500 Mg
0.7500 0.7500 0.7500 Mg
0.0000 0.0000 0.5000 Ru
0.0000 0.5000 0.0000 Ru
0.2500 0.2500 0.2500 Ru
0.2500 0.7500 0.7500 Ru
0.5000 0.0000 0.0000 Ru
0.5000 0.5000 0.5000 Ru
0.7500 0.2500 0.7500 Ru
0.7500 0.7500 0.2500 Ru
```

=====

[2]
Y2MgRu2 | PBE | relaxed

```
Y2MgRu2
1.0
7.1333 0.0000 0.0000
0.0000 7.1333 0.0000
0.0000 0.0000 4.1947
Y Mg Ru
4 2 4
Direct
0.1740 0.3260 0.0000 Y
0.3260 0.8260 0.0000 Y
0.6740 0.1740 0.0000 Y
0.8260 0.6740 0.0000 Y
0.0000 0.0000 0.5000 Mg
0.5000 0.5000 0.5000 Mg
0.1272 0.6272 0.5000 Ru
0.3728 0.1272 0.5000 Ru
0.6272 0.8728 0.5000 Ru
0.8728 0.3728 0.5000 Ru
```

=====

[3]
YMg2Ru | PBE | relaxed

```
YMg2Ru
1.0
4.0867 0.0000 0.0000
0.0000 4.0867 0.0000
0.0000 0.0000 4.9047
Y Mg Ru
1 2 1
Direct
0.0000 0.0000 0.0000 Y
0.0000 0.5000 0.5000 Mg
0.5000 0.0000 0.5000 Mg
0.5000 0.5000 0.0000 Ru
```

=====

[4]
Y4MgRu | PBE | relaxed

```
Y4MgRu
1.0
0.0000 6.8872 6.8872
6.8872 0.0000 6.8872
6.8872 6.8872 0.0000
Y Mg Ru
16 4 4
Direct
0.1873 0.1873 0.8127 Y
0.1873 0.8127 0.1873 Y
0.1873 0.8127 0.8127 Y
0.3441 0.3441 0.3441 Y
0.3441 0.3441 0.9677 Y
0.3441 0.9677 0.3441 Y
0.5617 0.5617 0.9383 Y
0.5617 0.9383 0.5617 Y
0.5617 0.9383 0.9383 Y
0.8127 0.1873 0.1873 Y
0.8127 0.1873 0.8127 Y
0.8127 0.8127 0.1873 Y
0.9383 0.5617 0.5617 Y
0.9383 0.5617 0.9383 Y
0.9383 0.9383 0.5617 Y
0.9677 0.3441 0.3441 Y
0.2621 0.5793 0.5793 Mg
0.5793 0.2621 0.5793 Mg
0.5793 0.5793 0.2621 Mg
0.5793 0.5793 0.5793 Mg
0.1392 0.1392 0.1392 Ru
0.1392 0.1392 0.5824 Ru
0.1392 0.5824 0.1392 Ru
0.5824 0.1392 0.1392 Ru
```

=====

[5]
YMgRu2 | PBE | relaxed

```
YMgRu2
1.0
3.3846 0.0000 0.0000
0.0000 4.9723 0.0000
0.0000 0.0000 8.4913
Y Mg Ru
2 2 4
Direct
0.0000 0.0000 0.0000 Y
0.5000 0.5000 0.5000 Y
0.0000 0.0000 0.5000 Mg
0.5000 0.5000 0.0000 Mg
0.0000 0.5000 0.2443 Ru
0.0000 0.5000 0.7557 Ru
0.5000 0.0000 0.2557 Ru
0.5000 0.0000 0.7443 Ru
```

=====

[6]
YMgRu2 | PBE | relaxed

```
YMgRu2
1.0
2.9714 0.0000 0.0000
0.0000 4.3319 0.0000
-0.8077 0.0000 5.5869
Y Mg Ru
1 1 2
Direct
0.0000 0.0000 0.0000 Y
0.5000 0.0000 0.5000 Mg
0.2747 0.5000 0.7098 Ru
0.7253 0.5000 0.2902 Ru
```

=====

[7]
YMgRu2 | PBE | relaxed

```
YMgRu2
1.0
3.4007 0.0000 0.0000
0.0000 4.2912 0.0000
0.0000 0.0000 4.8872
Y Mg Ru
1 1 2
Direct
0.0000 0.0000 0.0000 Y
0.5000 0.0000 0.5000 Mg
0.0000 0.5000 0.5000 Ru
0.5000 0.5000 0.0000 Ru
```

=====

[8]
YMg2Ru | PBE | relaxed

```
YMg2Ru
1.0
4.1749 0.0000 0.0000
0.0000 4.1749 0.0000
0.0000 0.0000 9.2608
Y Mg Ru
2 4 2
Direct
0.0000 0.0000 0.0000 Y
0.5000 0.5000 0.5000 Y
0.0000 0.5000 0.2500 Mg
0.0000 0.5000 0.7500 Mg
0.5000 0.0000 0.2500 Mg
0.5000 0.0000 0.7500 Mg
0.0000 0.0000 0.5000 Ru
0.5000 0.5000 0.0000 Ru
```

=====

Q: Which calculated total energy values were calculated for the entries above? A: -25.96, -34.22, -19.10, -38.17, -26.02, -26.13, -26.12, -19.30, in eV/f.u..
Q: Which calculated formation energy values were calculated for the entries above? A: 0.1628, -0.2291, -0.0418, -0.2403, 0.1474, 0.1189, 0.1214, -0.0935, in eV/atom.